Record 1
Entry from Alexandria: a geometry-optimized Cr3TeC structure (PBE). Values from VASP.

The structure in Quantum ESPRESSO input format:
```
&SYSTEM
  ibrav = 0, nat = 5, ntyp = 3
/
ATOMIC_SPECIES
Cr 52.00 Cr.upf
C 12.01 C.upf
Te 127.60 Te.upf
CELL_PARAMETERS angstrom
3.970 0.000 0.000
0.000 3.970 0.000
0.000 0.000 3.970
ATOMIC_POSITIONS angstrom
Cr 0.000 0.000 1.985
C 0.000 0.000 0.000
Cr 0.000 1.985 0.000
Cr 1.985 0.000 0.000
Te 1.985 1.985 1.985
```

- V: 63 Å³ per cell
- Excess energy over the best structure of this formula in the dataset: 0 meV/atom
- E_form (uncorrected): 0.246 eV per atom



Record 2
Entry from Alexandria: a geometry-optimized CrCoHg2 structure (PBE). Values from VASP.

The structure in Quantum ESPRESSO input format:
```
&SYSTEM
  ibrav = 0, nat = 4, ntyp = 3
/
ATOMIC_SPECIES
Hg 200.59 Hg.upf
Co 58.93 Co.upf
Cr 52.00 Cr.upf
CELL_PARAMETERS angstrom
-3.270 -2.633 -0.001
1.792 -2.225 -3.075
1.776 -2.206 2.631
ATOMIC_POSITIONS angstrom
Hg 0.000 0.000 0.000
Co -0.747 -2.420 1.315
Hg -0.739 -2.429 -1.538
Cr 1.784 -2.216 -0.222
```

- V: 68 Å³ per cell
- Excess energy over the best structure of this formula in the dataset: 107 meV/atom
- Energy relative to the elements: 0.4745 eV per atom



Record 3
Entry from Alexandria: a geometry-optimized NaCd4Ag2 structure (PBE). Values from VASP.

The structure in Quantum ESPRESSO input format:
```
&SYSTEM
  ibrav = 0, nat = 7, ntyp = 3
/
ATOMIC_SPECIES
Ag 107.87 Ag.upf
Na 22.99 Na.upf
Cd 112.41 Cd.upf
CELL_PARAMETERS angstrom
-6.727 -0.139 -2.871
0.492 -7.258 -0.784
2.006 3.311 4.449
ATOMIC_POSITIONS angstrom
Ag -0.309 -3.832 0.918
Na -4.229 -4.085 0.794
Cd -4.364 -5.177 -2.556
Ag -3.920 -0.253 -0.124
Cd -2.560 1.042 2.201
Cd 0.136 1.091 3.350
Cd -1.669 -5.128 -1.406
```

- V: 154 Å³ per cell
- Energy relative to the elements: -0.0725 eV per atom



Record 4
Entry from Alexandria: a geometry-optimized KDyTe3Pb structure (PBE). Values from VASP.

The structure in Quantum ESPRESSO input format:
```
&SYSTEM
  ibrav = 0, nat = 12, ntyp = 4
/
ATOMIC_SPECIES
Te 127.60 Te.upf
Pb 207.20 Pb.upf
K 39.10 K.upf
Dy 162.50 Dy.upf
CELL_PARAMETERS angstrom
4.487 0.000 0.000
0.000 9.680 0.045
0.000 -2.562 10.731
ATOMIC_POSITIONS angstrom
Te 3.365 3.688 1.433
Te 3.365 7.984 1.896
Te 1.122 5.161 4.740
Pb 1.122 -0.073 5.980
K 1.122 1.167 2.186
K 3.365 5.951 8.590
Dy 1.122 5.770 1.677
Te 1.122 3.431 9.343
Te 1.122 -0.865 8.881
Pb 3.365 7.192 4.796
Te 3.365 1.958 6.036
Dy 3.365 1.349 9.099
```

- V: 467 Å³ per cell
- E_form (uncorrected): -0.987 eV per atom



Record 5
Entry from Alexandria: a geometry-optimized K3InRh structure (PBE). Values from VASP.

The structure in Quantum ESPRESSO input format:
```
&SYSTEM
  ibrav = 0, nat = 5, ntyp = 3
/
ATOMIC_SPECIES
K 39.10 K.upf
In 114.82 In.upf
Rh 102.91 Rh.upf
CELL_PARAMETERS angstrom
5.932 0.000 0.000
0.000 5.932 0.000
0.000 0.000 5.932
ATOMIC_POSITIONS angstrom
K 0.000 0.000 2.966
In 2.966 2.966 2.966
K 0.000 2.966 0.000
K 2.966 0.000 0.000
Rh 0.000 0.000 0.000
```

- V: 209 Å³ per cell
- Excess energy over the best structure of this formula in the dataset: 0 meV/atom
- Energy relative to the elements: 0.5823 eV per atom



Record 6
Entry from Alexandria: a geometry-optimized SrLaSe3 structure (PBE). Values from VASP.

The structure in Quantum ESPRESSO input format:
```
&SYSTEM
  ibrav = 0, nat = 5, ntyp = 3
/
ATOMIC_SPECIES
La 138.91 La.upf
Sr 87.62 Sr.upf
Se 78.96 Se.upf
CELL_PARAMETERS angstrom
-1.966 -4.462 2.611
3.167 -3.247 -3.165
4.086 0.370 3.709
ATOMIC_POSITIONS angstrom
La 2.644 -3.669 1.578
Sr 0.000 0.000 0.000
Se 2.043 0.185 1.854
Se -0.983 -2.231 1.306
Se 1.584 -1.624 -1.582
```

- V: 169 Å³ per cell
- Excess energy over the best structure of this formula in the dataset: 476 meV/atom
- E_form (uncorrected): -0.824 eV per atom



Record 7
Entry from Alexandria: a geometry-optimized CeCdP2Ir5 structure (PBE). Values from VASP.

The structure in Quantum ESPRESSO input format:
```
&SYSTEM
  ibrav = 0, nat = 9, ntyp = 4
/
ATOMIC_SPECIES
Ir 192.22 Ir.upf
Cd 112.41 Cd.upf
P 30.97 P.upf
Ce 140.12 Ce.upf
CELL_PARAMETERS angstrom
-3.964 -0.350 -0.374
-0.299 -0.786 3.907
-1.119 10.514 2.029
ATOMIC_POSITIONS angstrom
Ir -2.892 8.384 1.465
Ir -2.190 1.780 0.190
Cd 0.000 0.000 0.000
P -2.452 2.445 2.348
Ce -0.559 5.257 1.014
Ir -0.358 1.562 2.331
P -2.929 6.934 3.214
Ir -1.060 8.166 3.605
Ir -2.691 4.689 2.781
```

- V: 172 Å³ per cell
- Energy relative to the elements: -0.3273 eV per atom



Record 8
Entry from Alexandria: a geometry-optimized AgMo2Au structure (PBE). Values from VASP.

The structure in Quantum ESPRESSO input format:
```
&SYSTEM
  ibrav = 0, nat = 4, ntyp = 3
/
ATOMIC_SPECIES
Mo 95.94 Mo.upf
Au 196.97 Au.upf
Ag 107.87 Ag.upf
CELL_PARAMETERS angstrom
-4.413 6.173 -6.474
-6.664 4.626 -5.803
-5.940 6.822 -4.202
ATOMIC_POSITIONS angstrom
Mo -4.279 4.431 -4.144
Au -12.736 13.188 -12.333
Ag -8.519 8.822 -8.250
Mo -17.008 17.611 -16.470
```

- V: 67 Å³ per cell
- Excess energy over the best structure of this formula in the dataset: 129 meV/atom
- Energy relative to the elements: 0.3339 eV per atom